# Y2PS | the Alexandria database | PBE | relaxed
data_Y2PS
_chemical_formula_sum 'Y8 P4 S4'
_cell_length_a 6.907
_cell_length_b 6.907
_cell_length_c 6.907
_cell_angle_alpha 90.00
_cell_angle_beta 90.00
_cell_angle_gamma 90.00
_space_group_name_H-M_alt 'F m -3 m'
_space_group_IT_number 225
_space_group_name_Hall '-F 4 2 3'
loop_
_atom_site_label
_atom_site_fract_x
_atom_site_fract_y
_atom_site_fract_z
_atom_site_occupancy
Y1 0.250 0.250 0.250 1
P1 0.000 0.000 0.000 1
S1 0.000 0.000 0.500 1
# E_form (uncorrected)   -1.39 eV per atom
# E above lowest polymorph   0.4899 eV per atom

---

# La2Dy2Bi2C | the Alexandria database | PBE | relaxed
data_La2Dy2Bi2C
_chemical_formula_sum 'La4 Dy4 Bi4 C2'
_cell_length_a 4.899
_cell_length_b 4.899
_cell_length_c 16.827
_cell_angle_alpha 90.00
_cell_angle_beta 90.00
_cell_angle_gamma 90.00
_space_group_name_H-M_alt 'I 4/m m m'
_space_group_IT_number 139
_space_group_name_Hall '-I 4 2'
loop_
_atom_site_label
_atom_site_fract_x
_atom_site_fract_y
_atom_site_fract_z
_atom_site_occupancy
La1 0.000 0.000 0.159 1
Dy1 0.000 0.500 0.000 1
Bi1 0.000 0.000 0.364 1
C1 0.000 0.000 0.000 1
# Calculated formation energy   -0.75 eV/atom

---

# AlCu2SiGe | the Alexandria database | PBE | relaxed
data_AlCu2SiGe
_chemical_formula_sum 'Al1 Cu2 Si1 Ge1'
_cell_length_a 4.528
_cell_length_b 4.528
_cell_length_c 4.819
_cell_angle_alpha 90.00
_cell_angle_beta 90.00
_cell_angle_gamma 90.00
_space_group_name_H-M_alt 'P 4/m m m'
_space_group_IT_number 123
_space_group_name_Hall '-P 4 2'
loop_
_atom_site_label
_atom_site_fract_x
_atom_site_fract_y
_atom_site_fract_z
_atom_site_occupancy
Al1 0.000 0.000 0.000 1
Cu1 0.000 0.500 0.500 1
Si1 0.500 0.500 0.000 1
Ge1 0.500 0.500 0.500 1
# E_form (uncorrected)   0.72 eV per atom

---

# BePtW | the Alexandria database | PBE | relaxed
data_BePtW
_chemical_formula_sum 'Be1 Pt1 W1'
_cell_length_a 4.1438
_cell_length_b 4.1438
_cell_length_c 2.7275
_cell_angle_alpha 90.00
_cell_angle_beta 90.00
_cell_angle_gamma 120.00
_space_group_name_H-M_alt 'P -6 m 2'
_space_group_IT_number 187
_space_group_name_Hall 'P -6 2'
loop_
_atom_site_label
_atom_site_fract_x
_atom_site_fract_y
_atom_site_fract_z
_atom_site_occupancy
Be1 0.0000 0.0000 0.0000 1
Pt1 0.3333 0.6667 0.0000 1
W1 0.6667 0.3333 0.5000 1
# Calculated formation energy   -0.18 eV/atom
# E above lowest polymorph   0.1651 eV per atom

---

# KLaIr | the Alexandria database | PBE | relaxed
data_KLaIr
_chemical_formula_sum 'K4 La4 Ir4'
_cell_length_a 7.105
_cell_length_b 7.105
_cell_length_c 7.105
_cell_angle_alpha 90.00
_cell_angle_beta 90.00
_cell_angle_gamma 90.00
_space_group_name_H-M_alt 'F -4 3 m'
_space_group_IT_number 216
_space_group_name_Hall 'F -4 2 3'
loop_
_atom_site_label
_atom_site_fract_x
_atom_site_fract_y
_atom_site_fract_z
_atom_site_occupancy
K1 0.000 0.000 0.000 1
La1 0.000 0.000 0.500 1
Ir1 0.250 0.250 0.750 1
# Calculated formation energy   0.14 eV/atom
# E above lowest polymorph   0.2376 eV per atom

---

# NaIn2Sn4 | the Alexandria database | PBE | relaxed
data_NaIn2Sn4
_chemical_formula_sum 'Na2 In4 Sn8'
_cell_length_a 5.074
_cell_length_b 17.552
_cell_length_c 4.764
_cell_angle_alpha 90.00
_cell_angle_beta 90.00
_cell_angle_gamma 90.00
_space_group_name_H-M_alt 'C m m m'
_space_group_IT_number 65
_space_group_name_Hall '-C 2 2'
loop_
_atom_site_label
_atom_site_fract_x
_atom_site_fract_y
_atom_site_fract_z
_atom_site_occupancy
Na1 0.000 0.000 0.000 1
In1 0.000 0.419 0.500 1
Sn1 0.000 0.178 0.500 1
Sn2 0.000 0.306 0.000 1
# Calculated formation energy   0.03 eV/atom
# E above lowest polymorph   0.0504 eV per atom

---

# AlCrRu2 | the Alexandria database | PBE | relaxed
data_AlCrRu2
_chemical_formula_sum 'Al1 Cr1 Ru2'
_cell_length_a 2.943
_cell_length_b 2.943
_cell_length_c 6.191
_cell_angle_alpha 90.00
_cell_angle_beta 90.00
_cell_angle_gamma 90.00
_space_group_name_H-M_alt 'P 4 m m'
_space_group_IT_number 99
loop_
_space_group_symop_operation_xyz
'x,y,z'
'-y,x,z'
'-x,-y,z'
'y,-x,z'
'-x,y,z'
'y,x,z'
'x,-y,z'
'-y,-x,z'
loop_
_atom_site_label
_atom_site_fract_x
_atom_site_fract_y
_atom_site_fract_z
_atom_site_occupancy
Al1 0.000 0.000 0.000 1
Cr1 0.500 0.500 0.253 1
Ru1 0.000 0.000 0.470 1
Ru2 0.500 0.500 0.765 1
# Calculated formation energy   -0.08 eV/atom

---

# CeY3Te4 | the Alexandria database | PBE | relaxed
data_CeY3Te4
_chemical_formula_sum 'Ce3 Y9 Te12'
_cell_length_a 4.3799
_cell_length_b 4.3799
_cell_length_c 43.4326
_cell_angle_alpha 90.00
_cell_angle_beta 90.00
_cell_angle_gamma 120.00
_space_group_name_H-M_alt 'R -3 m'
_space_group_IT_number 166
_space_group_name_Hall '-R 3 2"'
loop_
_atom_site_label
_atom_site_fract_x
_atom_site_fract_y
_atom_site_fract_z
_atom_site_occupancy
Ce1 0.0000 0.0000 0.0000 1
Y1 0.0000 0.0000 0.2491 1
Y2 0.0000 0.0000 0.5000 1
Te1 0.0000 0.0000 0.1258 1
Te2 0.0000 0.0000 0.3775 1
# E_form (uncorrected)   -1.33 eV per atom

---

We obtain raw total energy values of -7.01; -5.90; -3.68; -7.75; -4.82; -3.23; -8.06; -6.07 eV/atom for the records listed above, in that order.
We obtain D(E_F) values of 3.4; 7.4; 2.2; 2.2; 2.8; 4.0; 4.4; 10.1 states/eV/f.u. for the records listed above, in that order.